Compound: SrSiAg2
Source: Alexandria via LeMat-Bulk
Functional: GGA-PBE
Structure: optimized geometry

**Total energy**: -3.10 eV per atom
**Uncorrected formation energy**: 39 kJ/mol of formula units
**Size of the total moment**: 0.00 μB/cell
**Density of states at the Fermi level**: 2.43 states/eV per cell

Cell lengths 4.5539, 4.5539, 4.3917 Å; angles 90.00, 90.00, 90.00 degrees
With the nearest neighbours (Å) after each atom.
Sites, in units of the cell vectors:
Sr 0.0000 0.0000 0.0000  8 Ag 3.16, 4 Si 3.22
Si 0.5000 0.5000 0.0000  8 Ag 3.16, 4 Sr 3.22
Ag 0.0000 0.5000 0.5000  4 Sr 3.16, 4 Si 3.16, 4 Ag 3.22
Ag 0.5000 0.0000 0.5000  4 Sr 3.16, 4 Si 3.16, 4 Ag 3.22